Compound: Ca2TcWN4
Source: the Alexandria database
Functional: PBE-GGA
Structure: relaxed

For the formation energy from raw total energies, the calculation gives -0.548 eV per atom. The total energy comes out at -8.1261 eV per atom.

The structure belongs to space group Pmn2_1 (No. 31); the cell edges are 7.227, 6.381 and 5.142 Å and the angles 90.00°, 90.00° and 90.00°. The inequivalent atoms are Ca at (0.240, 0.172, 0.000), Tc at (0.000, 0.341, 0.465), W at (0.000, 0.648, 0.039), N at (0.000, 0.385, 0.875), N at (0.000, 0.638, 0.421) and N at (0.240, 0.781, 0.986).